Entry 1:
# TcSbSeN2

TcSbSeN2 after structural relaxation (PBE, Alexandria). Values from VASP.

- Calculated total energy: -5.35 eV per atom
- Energy relative to the elements, uncorrected: 1.57 eV/atom
- Space-group type: P4/mmm
- Energy above the lowest structure with this stoichiometry: 4.52 eV per formula unit
- DOS at the Fermi energy: 2.1 states/eV/cell

Geometry as Quantum ESPRESSO input:
```
&SYSTEM
  ibrav = 0, nat = 5, ntyp = 4
/
ATOMIC_SPECIES
Se 78.96 Se.upf
N 14.01 N.upf
Sb 121.76 Sb.upf
Tc 98.00 Tc.upf
ATOMIC_POSITIONS crystal
Se 0.0000 0.0000 0.5000
N 0.5000 0.0000 0.0000
N 0.0000 0.5000 0.0000
Sb 0.0000 0.0000 0.0000
Tc 0.5000 0.5000 0.5000
CELL_PARAMETERS angstrom
3.9773 0.0000 0.0000
0.0000 3.9773 0.0000
0.0000 0.0000 5.7674
```



Entry 2:
# La3GeSb

La3GeSb after structural relaxation (PBE, Alexandria). Values from VASP.

- Calculated total energy: -5.53 eV per atom
- Energy relative to the elements, uncorrected: -0.82 eV/atom
- Space-group type: C2/c
- Energy above the lowest structure with this stoichiometry: 0.20 eV per formula unit
- DOS at the Fermi energy: 19.4 states/eV/cell

Geometry as Quantum ESPRESSO input:
```
&SYSTEM
  ibrav = 0, nat = 20, ntyp = 3
/
ATOMIC_SPECIES
La 138.91 La.upf
Sb 121.76 Sb.upf
Ge 72.64 Ge.upf
ATOMIC_POSITIONS crystal
La 0.5883 0.8151 0.9931
Sb 0.7500 0.1639 0.8361
La 0.0879 0.6882 0.5119
La 0.0883 0.9931 0.8151
Ge 0.3728 0.8035 0.7025
Sb 0.2500 0.8361 0.1639
La 0.6861 0.9334 0.5668
La 0.4121 0.4881 0.3118
Ge 0.6272 0.1965 0.2975
La 0.9121 0.3118 0.4881
La 0.8139 0.4332 0.0666
La 0.5879 0.5119 0.6882
La 0.9117 0.0069 0.1849
La 0.4117 0.1849 0.0069
La 0.3139 0.0666 0.4332
Sb 0.2500 0.3398 0.6602
Sb 0.7500 0.6602 0.3398
Ge 0.8728 0.7025 0.8035
La 0.1861 0.5668 0.9334
Ge 0.1272 0.2975 0.1965
CELL_PARAMETERS angstrom
8.6735 -0.2773 -0.2074
0.2465 8.6118 -0.9340
0.2465 1.5369 8.5249
```



Entry 3:
# NbCuP2S

NbCuP2S after structural relaxation (PBE, Alexandria). Values from VASP.

- Calculated total energy: -5.06 eV per atom
- Energy relative to the elements, uncorrected: 0.76 eV/atom
- Space-group type: P4/mmm
- Energy above the lowest structure with this stoichiometry: 1.18 eV per formula unit
- DOS at the Fermi energy: 3.8 states/eV/cell

Geometry as Quantum ESPRESSO input:
```
&SYSTEM
  ibrav = 0, nat = 5, ntyp = 4
/
ATOMIC_SPECIES
P 30.97 P.upf
S 32.06 S.upf
Nb 92.91 Nb.upf
Cu 63.55 Cu.upf
ATOMIC_POSITIONS crystal
P 0.0000 0.5000 0.0000
S 0.0000 0.0000 0.5000
Nb 0.5000 0.5000 0.5000
Cu 0.0000 0.0000 0.0000
P 0.5000 0.0000 0.0000
CELL_PARAMETERS angstrom
-1.8187 -3.8475 1.0354
3.6935 -1.2012 2.0244
-1.5065 1.7277 3.7738
```



Entry 4:
# ErMgHg

ErMgHg after structural relaxation (PBE, Alexandria). Values from VASP.

- Calculated total energy: -2.46 eV per atom
- Space-group type: P-6m2
- DOS at the Fermi energy: 2.5 states/eV/cell
- ΔH_f (0 K): -0.30 eV per atom

Geometry as Quantum ESPRESSO input:
```
&SYSTEM
  ibrav = 0, nat = 3, ntyp = 3
/
ATOMIC_SPECIES
Er 167.26 Er.upf
Hg 200.59 Hg.upf
Mg 24.30 Mg.upf
ATOMIC_POSITIONS crystal
Er 0.6663 0.6667 0.3333
Hg 0.1667 0.3333 0.6667
Mg 0.1670 0.0000 0.0000
CELL_PARAMETERS angstrom
-2.9653 -1.6865 0.6885
-0.0302 -1.8086 -4.5603
2.2389 -2.4660 3.6021
```



Entry 5:
# CeDyHf

CeDyHf after structural relaxation (PBE, Alexandria). Values from VASP.

- Calculated total energy: -6.47 eV per atom
- Space-group type: Cm
- Energy above the lowest structure with this stoichiometry: 0.66 eV per formula unit
- DOS at the Fermi energy: 9.4 states/eV/cell
- ΔH_f (0 K): 0.36 eV per atom

Geometry as Quantum ESPRESSO input:
```
&SYSTEM
  ibrav = 0, nat = 6, ntyp = 3
/
ATOMIC_SPECIES
Dy 162.50 Dy.upf
Ce 140.12 Ce.upf
Hf 178.49 Hf.upf
ATOMIC_POSITIONS crystal
Dy 0.7934 0.7934 0.9944
Dy 0.4697 0.4697 0.9961
Ce 0.1770 0.1770 0.5022
Hf 0.2353 0.2353 0.2028
Hf 0.9938 0.9938 0.7228
Ce 0.5903 0.5903 0.5039
CELL_PARAMETERS angstrom
-5.4330 -0.7741 -0.9710
-2.8229 -4.5562 1.5272
2.7608 5.3185 5.1673
```



Entry 6:
# Ce2InGa4Pt3

Ce2InGa4Pt3 after structural relaxation (PBE, Alexandria). Values from VASP.

- Calculated total energy: -5.29 eV per atom
- Space-group type: P-4m2
- DOS at the Fermi energy: 13.6 states/eV/cell
- ΔH_f (0 K): -0.81 eV per atom

Geometry as Quantum ESPRESSO input:
```
&SYSTEM
  ibrav = 0, nat = 10, ntyp = 4
/
ATOMIC_SPECIES
Ga 69.72 Ga.upf
Pt 195.08 Pt.upf
In 114.82 In.upf
Ce 140.12 Ce.upf
ATOMIC_POSITIONS crystal
Ga 0.5000 0.5000 0.0000
Pt 0.0000 0.5000 0.1282
Ga 0.0000 0.5000 0.3530
Ga 0.5000 0.0000 0.6470
Ga 0.0000 0.0000 0.0000
Pt 0.5000 0.0000 0.8718
In 0.5000 0.5000 0.5000
Pt 0.0000 0.0000 0.5000
Ce 0.0000 0.5000 0.7641
Ce 0.5000 0.0000 0.2359
CELL_PARAMETERS angstrom
4.2815 0.0000 0.0000
0.0000 4.2815 0.0000
0.0000 0.0000 10.9156
```



Entry 7:
# PrThAg

PrThAg after structural relaxation (PBE, Alexandria). Values from VASP.

- Calculated total energy: -5.09 eV per atom
- Space-group type: Fmmm
- Energy above the lowest structure with this stoichiometry: 0.00 eV per formula unit
- DOS at the Fermi energy: 7.6 states/eV/cell
- ΔH_f (0 K): -0.08 eV per atom

Geometry as Quantum ESPRESSO input:
```
&SYSTEM
  ibrav = 0, nat = 6, ntyp = 3
/
ATOMIC_SPECIES
Th 232.04 Th.upf
Pr 140.91 Pr.upf
Ag 107.87 Ag.upf
ATOMIC_POSITIONS crystal
Th 0.8362 0.3276 0.0000
Pr 0.3499 0.0000 0.3002
Th 0.1638 0.6724 0.0000
Ag 0.2500 0.5000 0.5000
Pr 0.6501 0.0000 0.6998
Ag 0.7500 0.5000 0.5000
CELL_PARAMETERS angstrom
5.8692 0.0000 0.0000
2.9346 5.2360 0.0000
2.9346 0.0000 5.6733
```



Entry 8:
# PrHo2ErAs4

PrHo2ErAs4 after structural relaxation (PBE, Alexandria). Values from VASP.

- Calculated total energy: -6.14 eV per atom
- Space-group type: P2/m
- DOS at the Fermi energy: 0.9 states/eV/cell
- ΔH_f (0 K): -1.50 eV per atom

Geometry as Quantum ESPRESSO input:
```
&SYSTEM
  ibrav = 0, nat = 8, ntyp = 4
/
ATOMIC_SPECIES
As 74.92 As.upf
Ho 164.93 Ho.upf
Er 167.26 Er.upf
Pr 140.91 Pr.upf
ATOMIC_POSITIONS crystal
As 0.0000 0.7581 0.7410
Ho 0.0000 0.0000 0.0000
Er 0.0000 0.5000 0.5000
As 0.0000 0.2419 0.2590
Pr 0.5000 0.5000 0.0000
As 0.5000 0.2465 0.7451
Ho 0.5000 0.0000 0.5000
As 0.5000 0.7535 0.2549
CELL_PARAMETERS angstrom
-1.0336 4.0071 0.3439
-4.0343 -0.5322 -5.9241
-6.6916 -1.8822 1.8202
```



Entry 9:
# LiAuBr2

LiAuBr2 after structural relaxation (PBE, Alexandria). Values from VASP.

- Calculated total energy: -2.51 eV per atom
- Energy relative to the elements, uncorrected: -0.38 eV/atom
- Space-group type: P4/mmm
- Energy above the lowest structure with this stoichiometry: 1.60 eV per formula unit
- DOS at the Fermi energy: 0.5 states/eV/cell

Geometry as Quantum ESPRESSO input:
```
&SYSTEM
  ibrav = 0, nat = 4, ntyp = 3
/
ATOMIC_SPECIES
Li 6.94 Li.upf
Au 196.97 Au.upf
Br 79.90 Br.upf
ATOMIC_POSITIONS crystal
Li 0.5000 0.5000 0.2500
Au 0.5000 0.5000 0.7500
Br 0.0000 0.0000 0.0095
Br 0.0000 0.0000 0.4905
CELL_PARAMETERS angstrom
-0.5844 2.1412 2.7507
-0.1609 -2.8026 2.1475
7.0514 0.4655 1.1357
```



Entry 10:
# Nd6Er8Pb

Nd6Er8Pb after structural relaxation (PBE, Alexandria). Values from VASP.

- Calculated total energy: -4.52 eV per atom
- Space-group type: P-3
- DOS at the Fermi energy: 19.2 states/eV/cell
- ΔH_f (0 K): 0.07 eV per atom

Geometry as Quantum ESPRESSO input:
```
&SYSTEM
  ibrav = 0, nat = 15, ntyp = 3
/
ATOMIC_SPECIES
Er 167.26 Er.upf
Nd 144.24 Nd.upf
Pb 207.20 Pb.upf
ATOMIC_POSITIONS crystal
Er 0.1847 0.9627 0.7370
Nd 0.3167 0.0892 0.4496
Er 0.8153 0.0373 0.2630
Nd 0.6833 0.9108 0.5504
Nd 0.3167 0.5504 0.6397
Pb 0.5000 0.0000 0.0000
Nd 0.6833 0.6397 0.0892
Er 0.8153 0.2256 0.9627
Er 0.8153 0.7370 0.7744
Nd 0.6833 0.4496 0.3603
Er 0.1847 0.2630 0.2256
Er 0.1632 0.6667 0.3333
Er 0.8368 0.3333 0.6667
Er 0.1847 0.7744 0.0373
Nd 0.3167 0.3603 0.9108
CELL_PARAMETERS angstrom
-1.1265 4.8201 -4.0919
2.7730 -5.4536 -7.1875
-9.0674 0.1049 2.6199
```



Entry 11:
# Pu2CrGe

Pu2CrGe after structural relaxation (PBE, Alexandria). Values from VASP.

- Calculated total energy: -10.88 eV per atom
- Space-group type: P4/mmm
- Energy above the lowest structure with this stoichiometry: 0.00 eV per formula unit
- DOS at the Fermi energy: 7.7 states/eV/cell
- ΔH_f (0 K): -0.16 eV per atom

Geometry as Quantum ESPRESSO input:
```
&SYSTEM
  ibrav = 0, nat = 4, ntyp = 3
/
ATOMIC_SPECIES
Cr 52.00 Cr.upf
Ge 72.64 Ge.upf
Pu 244.00 Pu.upf
ATOMIC_POSITIONS crystal
Cr 0.5000 0.5000 0.5000
Ge 0.5000 0.0000 0.0000
Pu 0.0000 0.5000 0.0000
Pu 0.0000 0.0000 0.5000
CELL_PARAMETERS angstrom
-4.0061 0.2560 -1.5160
0.0228 -4.1811 -0.7664
-1.5229 -0.7236 3.9022
```



Entry 12:
# GdCdGaNi

GdCdGaNi after structural relaxation (PBE, Alexandria). Values from VASP.

- Calculated total energy: -6.24 eV per atom
- Space-group type: F-43m
- DOS at the Fermi energy: 1.5 states/eV/cell
- ΔH_f (0 K): -0.29 eV per atom

Geometry as Quantum ESPRESSO input:
```
&SYSTEM
  ibrav = 0, nat = 4, ntyp = 4
/
ATOMIC_SPECIES
Ni 58.69 Ni.upf
Ga 69.72 Ga.upf
Gd 157.25 Gd.upf
Cd 112.41 Cd.upf
ATOMIC_POSITIONS crystal
Ni 0.7500 0.7500 0.7500
Ga 0.2500 0.2500 0.2500
Gd 0.0000 0.0000 0.0000
Cd 0.5000 0.5000 0.5000
CELL_PARAMETERS angstrom
4.7599 0.0000 0.0000
2.3800 4.1222 0.0000
2.3800 1.3741 3.8865
```



Copy entry 6 word for word.
# Ce2InGa4Pt3

Ce2InGa4Pt3 after structural relaxation (PBE, Alexandria). Values from VASP.

- Calculated total energy: -5.29 eV per atom
- Space-group type: P-4m2
- DOS at the Fermi energy: 13.6 states/eV/cell
- ΔH_f (0 K): -0.81 eV per atom

Geometry as Quantum ESPRESSO input:
```
&SYSTEM
  ibrav = 0, nat = 10, ntyp = 4
/
ATOMIC_SPECIES
Ga 69.72 Ga.upf
Pt 195.08 Pt.upf
In 114.82 In.upf
Ce 140.12 Ce.upf
ATOMIC_POSITIONS crystal
Ga 0.5000 0.5000 0.0000
Pt 0.0000 0.5000 0.1282
Ga 0.0000 0.5000 0.3530
Ga 0.5000 0.0000 0.6470
Ga 0.0000 0.0000 0.0000
Pt 0.5000 0.0000 0.8718
In 0.5000 0.5000 0.5000
Pt 0.0000 0.0000 0.5000
Ce 0.0000 0.5000 0.7641
Ce 0.5000 0.0000 0.2359
CELL_PARAMETERS angstrom
4.2815 0.0000 0.0000
0.0000 4.2815 0.0000
0.0000 0.0000 10.9156
```